Below is a geometry-optimized SrCaSmFeO6 structure, with properties calculated at the GGA+U level.

Unit cell a=5.795 b=5.795 c=5.795 alpha=60.00 beta=60.00 gamma=60.00
Sites, in units of the cell vectors:
Sr 0.000 0.000 0.000
Ca 0.500 0.500 0.500
Sm 0.250 0.250 0.250
Fe 0.750 0.750 0.750
O 0.522 0.522 0.978
O 0.522 0.978 0.522
O 0.522 0.978 0.978
O 0.978 0.522 0.522
O 0.978 0.522 0.978
O 0.978 0.978 0.522

Results
Space group: F-43m, No. 216
Energy above the most stable polymorph in this dataset, eV per atom: 0.000
Raw total energy, eV for the cell shown: -65.9
DOS(E_F), states/eV/cell: 0.335
Total magnetic moment, μB per formula unit: 3.02